# 1
Entry from Alexandria: crystalline NaInHg5 at its relaxed geometry (PBE-GGA).

```
NaInHg5
1.0
4.750 -3.212 0.000
4.750 3.212 0.000
0.000 0.000 12.583
Na In Hg
2 2 10
Direct
0.000 0.000 0.000
0.000 0.000 0.500
0.375 0.625 0.750
0.625 0.375 0.250
0.091 0.909 0.250
0.153 0.420 0.111
0.153 0.420 0.389
0.420 0.153 0.611
0.420 0.153 0.889
0.580 0.847 0.111
0.580 0.847 0.389
0.847 0.580 0.611
0.847 0.580 0.889
0.909 0.091 0.750
```

Properties
**Energy above the most stable polymorph in this dataset**: 0 meV per atom

# 2
Entry from Alexandria: crystalline Na4In5Hg2 at its relaxed geometry (PBE-GGA).

```
Na4In5Hg2
1.0
8.121 0.000 0.000
0.000 3.370 0.000
-0.765 0.000 10.616
Na In Hg
4 5 2
Direct
0.160 0.000 0.392
0.280 0.000 0.948
0.720 0.000 0.052
0.840 0.000 0.608
0.204 0.500 0.668
0.435 0.500 0.209
0.500 0.500 0.500
0.565 0.500 0.791
0.796 0.500 0.332
0.060 0.500 0.141
0.940 0.500 0.859
```

| no. | DFT formation energy (eV/atom) |
| --- | --- |
| 1 | -0.08 |
| 2 | -0.14 |